A relaxed structure of Pr2NpPaN6. Source: Alexandria, functional PBE-GGA.

Properties
The value obtained for the formation energy from raw total energies is -1.32 eV per atom. As for the space-group type: P2_1/c (14). Its total energy is -0.69922 Ry per atom.

abc: 5.9315 6.0548 10.3306
angles: 90.00 124.88 90.00
Fractional coordinates of all 20 atoms:
Pr  0.2380  0.0440  0.2509
Pr  0.2380  0.4560  0.7509
Pr  0.7620  0.5440  0.2491
Pr  0.7620  0.9560  0.7491
Np  0.0000  0.0000  0.5000
Np  0.0000  0.5000  0.0000
Pa  0.5000  0.0000  0.0000
Pa  0.5000  0.5000  0.5000
N  0.1471  0.2111  0.9399
N  0.1471  0.2889  0.4399
N  0.2240  0.6948  0.9475
N  0.2240  0.8052  0.4475
N  0.3424  0.0374  0.7389
N  0.3424  0.4626  0.2389
N  0.6576  0.5374  0.7611
N  0.6576  0.9626  0.2611
N  0.7760  0.1948  0.5525
N  0.7760  0.3052  0.0525
N  0.8529  0.7111  0.5601
N  0.8529  0.7889  0.0601